# 1
# PBE UMnFeTc, relaxed
data_UMnFeTc
_space_group_name_H-M_alt 'F -4 3 m'
_space_group_IT_number 216
_space_group_name_Hall 'F -4 2 3'
_cell_length_a 6.262
_cell_length_b 6.262
_cell_length_c 6.262
_cell_angle_alpha 90.00
_cell_angle_beta 90.00
_cell_angle_gamma 90.00
loop_
_atom_site_label
_atom_site_fract_x
_atom_site_fract_y
_atom_site_fract_z
U1 0.000 0.000 0.000
Mn1 0.000 0.000 0.500
Fe1 0.250 0.250 0.250
Tc1 0.250 0.250 0.750
# ΔE_f: 14.71 kJ per mole of atoms
# Crystal system: cubic



# 2
# PBE MnVFeTc, relaxed
data_MnVFeTc
_space_group_name_H-M_alt 'F -4 3 m'
_space_group_IT_number 216
_space_group_name_Hall 'F -4 2 3'
_cell_length_a 5.859
_cell_length_b 5.859
_cell_length_c 5.859
_cell_angle_alpha 90.00
_cell_angle_beta 90.00
_cell_angle_gamma 90.00
loop_
_atom_site_label
_atom_site_fract_x
_atom_site_fract_y
_atom_site_fract_z
Mn1 0.000 0.000 0.000
V1 0.000 0.000 0.500
Fe1 0.250 0.250 0.250
Tc1 0.250 0.250 0.750
# ΔE_f: -6.26 kJ per mole of atoms
# Crystal system: cubic



# 3
# PBE MnFeTcW, relaxed
data_MnFeTcW
_space_group_name_H-M_alt 'F -4 3 m'
_space_group_IT_number 216
_space_group_name_Hall 'F -4 2 3'
_cell_length_a 6.018
_cell_length_b 6.018
_cell_length_c 6.018
_cell_angle_alpha 90.00
_cell_angle_beta 90.00
_cell_angle_gamma 90.00
loop_
_atom_site_label
_atom_site_fract_x
_atom_site_fract_y
_atom_site_fract_z
Mn1 0.000 0.000 0.000
Fe1 0.250 0.250 0.250
Tc1 0.250 0.250 0.750
W1 0.000 0.000 0.500
# ΔE_f: 7.02 kJ per mole of atoms
# Crystal system: cubic



# 4
# PBE MnZnFeTc, relaxed
data_MnZnFeTc
_space_group_name_H-M_alt 'F -4 3 m'
_space_group_IT_number 216
_space_group_name_Hall 'F -4 2 3'
_cell_length_a 5.933
_cell_length_b 5.933
_cell_length_c 5.933
_cell_angle_alpha 90.00
_cell_angle_beta 90.00
_cell_angle_gamma 90.00
loop_
_atom_site_label
_atom_site_fract_x
_atom_site_fract_y
_atom_site_fract_z
Mn1 0.000 0.000 0.000
Zn1 0.250 0.250 0.250
Fe1 0.250 0.250 0.750
Tc1 0.000 0.000 0.500
# ΔE_f: 13.52 kJ per mole of atoms
# Crystal system: cubic



# 5
# PBE MnFe2Te, relaxed
data_MnFe2Te
_space_group_name_H-M_alt 'I -4 m 2'
_space_group_IT_number 119
_space_group_name_Hall 'I -4 -2'
_cell_length_a 3.832
_cell_length_b 3.832
_cell_length_c 7.836
_cell_angle_alpha 90.00
_cell_angle_beta 90.00
_cell_angle_gamma 90.00
loop_
_atom_site_label
_atom_site_fract_x
_atom_site_fract_y
_atom_site_fract_z
Mn1 0.000 0.000 0.000
Fe1 0.000 0.000 0.500
Fe2 0.000 0.500 0.250
Te1 0.000 0.500 0.750
# Crystal system: tetragonal
# Uncorrected formation energy: 0.2634 eV per atom



# 6
# PBE Mn2FeTe, relaxed
data_Mn2FeTe
_space_group_name_H-M_alt 'I m m 2'
_space_group_IT_number 44
_space_group_name_Hall 'I 2 -2'
_cell_length_a 3.558
_cell_length_b 4.071
_cell_length_c 8.166
_cell_angle_alpha 90.00
_cell_angle_beta 90.00
_cell_angle_gamma 90.00
loop_
_atom_site_label
_atom_site_fract_x
_atom_site_fract_y
_atom_site_fract_z
Mn1 0.000 0.000 0.000
Mn2 0.000 0.500 0.245
Fe1 0.000 0.000 0.514
Te1 0.000 0.500 0.761
# Crystal system: orthorhombic
# Uncorrected formation energy: 0.2928 eV per atom



For each record above, in turn, the calculated D(E_F) values are 34.24, 20.87, 15.20, 10.75, 7.51, 8.10 states/eV/cell.
For each record above, in turn, the calculated size of the total moment values are 15.207, 11.708, 15.245, 17.214, 15.687, 16.649 μB/cell.